No. 1
Compound: Tc2AgPb
Source: Alexandria
Functional: GGA-PBE
Structure: optimized geometry

Cell lengths 3.035, 3.033, 8.276 Å; angles 90.00, 90.35, 90.00 degrees
Atoms (fractional coordinates):
Tc: 0.000 0.000 0.000
Tc: 0.497 0.500 0.835
Ag: 0.993 0.000 0.584
Pb: 0.501 0.500 0.278

Summary:
density = 11.139 Mg/m³
DFT formation energy = 0.3426 eV/atom

=====

No. 2
Compound: TcAg2Pb
Source: Alexandria
Functional: GGA-PBE
Structure: optimized geometry

Cell lengths 3.080, 4.703, 10.645 Å; angles 90.00, 90.00, 90.00 degrees
Atoms (fractional coordinates):
Tc: 0.000 0.000 0.000
Tc: 0.500 0.500 0.500
Ag: 0.000 0.500 0.271
Ag: 0.000 0.500 0.729
Ag: 0.500 0.000 0.229
Ag: 0.500 0.000 0.771
Pb: 0.000 0.000 0.500
Pb: 0.500 0.500 0.000

Summary:
density = 11.219 Mg/m³
DFT formation energy = 0.4740 eV/atom

=====

No. 3
Compound: TcAg2Pb
Source: Alexandria
Functional: GGA-PBE
Structure: optimized geometry

Cell lengths 3.167, 5.047, 9.761 Å; angles 90.00, 90.00, 90.00 degrees
Atoms (fractional coordinates):
Tc: 0.000 0.000 0.000
Tc: 0.500 0.500 0.500
Ag: 0.000 0.000 0.491
Ag: 0.000 0.500 0.744
Ag: 0.500 0.000 0.244
Ag: 0.500 0.500 0.991
Pb: 0.000 0.500 0.253
Pb: 0.500 0.000 0.753

Summary:
density = 11.091 Mg/m³
DFT formation energy = 0.6509 eV/atom

=====

No. 4
Compound: Tc2AgPb
Source: Alexandria
Functional: GGA-PBE
Structure: optimized geometry

Cell lengths 3.973, 4.545, 7.910 Å; angles 90.00, 90.00, 90.00 degrees
Atoms (fractional coordinates):
Tc: 0.000 0.000 0.000
Tc: 0.000 0.500 0.299
Tc: 0.500 0.000 0.799
Tc: 0.500 0.500 0.500
Ag: 0.000 0.500 0.764
Ag: 0.500 0.000 0.264
Pb: 0.000 0.000 0.530
Pb: 0.500 0.500 0.030

Summary:
density = 11.883 Mg/m³
DFT formation energy = 0.6531 eV/atom

=====

No. 5
Compound: TcAgPb4
Source: Alexandria
Functional: GGA-PBE
Structure: optimized geometry

Cell lengths 6.291, 6.291, 6.291 Å; angles 60.00, 60.00, 60.00 degrees
Atoms (fractional coordinates):
Tc: 0.000 0.000 0.000
Ag: 0.750 0.750 0.750
Pb: 0.375 0.375 0.375
Pb: 0.375 0.375 0.876
Pb: 0.375 0.876 0.375
Pb: 0.876 0.375 0.375

Summary:
density = 9.758 Mg/m³
DFT formation energy = 0.9135 eV/atom

=====

No. 6
Compound: TcAg2Pb2
Source: Alexandria
Functional: GGA-PBE
Structure: optimized geometry

Cell lengths 7.372, 7.372, 4.210 Å; angles 90.00, 90.00, 90.00 degrees
Atoms (fractional coordinates):
Tc: 0.000 0.000 0.000
Tc: 0.500 0.500 0.000
Ag: 0.132 0.368 0.000
Ag: 0.368 0.868 0.000
Ag: 0.632 0.132 0.000
Ag: 0.868 0.632 0.000
Pb: 0.177 0.677 0.500
Pb: 0.323 0.177 0.500
Pb: 0.677 0.823 0.500
Pb: 0.823 0.323 0.500

Summary:
density = 10.570 Mg/m³
DFT formation energy = 0.6482 eV/atom
distance to the lowest polymorph of the same formula = 0.000 eV per atom

=====

No. 7
Compound: Tc2AgPb
Source: Alexandria
Functional: GGA-PBE
Structure: optimized geometry

Cell lengths 3.332, 3.332, 6.279 Å; angles 90.00, 90.00, 90.00 degrees
Atoms (fractional coordinates):
Tc: 0.000 0.000 0.238
Tc: 0.000 0.000 0.762
Ag: 0.500 0.500 0.000
Pb: 0.500 0.500 0.500

Summary:
density = 12.171 Mg/m³
DFT formation energy = 0.8823 eV/atom

=====

No. 8
Compound: TcAg2Pb
Source: Alexandria
Functional: GGA-PBE
Structure: optimized geometry

Cell lengths 3.968, 3.968, 21.058 Å; angles 90.00, 90.00, 90.00 degrees
Atoms (fractional coordinates):
Tc: 0.000 0.000 0.000
Tc: 0.000 0.500 0.250
Tc: 0.500 0.000 0.750
Tc: 0.500 0.500 0.500
Ag: 0.240 0.250 0.125
Ag: 0.250 0.740 0.375
Ag: 0.250 0.760 0.875
Ag: 0.260 0.250 0.625
Ag: 0.740 0.750 0.625
Ag: 0.750 0.240 0.875
Ag: 0.750 0.260 0.375
Ag: 0.760 0.750 0.125
Pb: 0.000 0.000 0.500
Pb: 0.000 0.500 0.750
Pb: 0.500 0.000 0.250
Pb: 0.500 0.500 0.000

Summary:
density = 10.439 Mg/m³
DFT formation energy = 0.6803 eV/atom